A plane-wave DFT calculation with PBE+U was carried out for a geometry-optimized Mn2GaPbO8 structure.

Cell lengths 5.1981, 5.1981, 7.0324 Å; angles 90.00, 90.00, 120.00 degrees
Space group P-3 (No. 147)
One atom of each set of equivalent atoms:
Mn: 0.3333 0.6667 0.2408 [2 per cell]
Ga: 0.0000 0.0000 0.0000 [1 per cell]
Pb: 0.0000 0.0000 0.5000 [1 per cell]
O: 0.0571 0.3207 0.1773 [6 per cell]
O: 0.3333 0.6667 0.4780 [2 per cell]

Summary:
D(E_F)	0.47	states/eV per atom
calculated total energy	-73.0	eV per formula unit
total moment	0.250	μB per atom